Model w:
# Ti3BeHg | Alexandria | PBE | relaxed
data_Ti3BeHg
_symmetry_space_group_name_H-M 'P m -3 m'
_symmetry_Int_Tables_number 221
_symmetry_space_group_name_Hall '-P 4 2 3'
_cell_length_a 4.409
_cell_length_b 4.409
_cell_length_c 4.409
_cell_angle_alpha 90.00
_cell_angle_beta 90.00
_cell_angle_gamma 90.00
loop_
_atom_site_label
_atom_site_type_symbol
_atom_site_fract_x
_atom_site_fract_y
_atom_site_fract_z
Ti1 Ti 0.000 0.000 0.500
Be1 Be 0.000 0.000 0.000
Hg1 Hg 0.500 0.500 0.500
# N(E_F): 2.11 states/eV/f.u.

---

Model x:
# Ti3BeHg | Alexandria | PBE | relaxed
data_Ti3BeHg
_symmetry_space_group_name_H-M 'P m -3 m'
_symmetry_Int_Tables_number 221
_symmetry_space_group_name_Hall '-P 4 2 3'
_cell_length_a 4.952
_cell_length_b 4.952
_cell_length_c 4.952
_cell_angle_alpha 90.00
_cell_angle_beta 90.00
_cell_angle_gamma 90.00
loop_
_atom_site_label
_atom_site_type_symbol
_atom_site_fract_x
_atom_site_fract_y
_atom_site_fract_z
Ti1 Ti 0.000 0.000 0.500
Be1 Be 0.500 0.500 0.500
Hg1 Hg 0.000 0.000 0.000
# N(E_F): 2.65 states/eV/f.u.

---

The data favor model w; the next most stable structure lies 1242 meV per atom above it.

---

Model w:
# BeTl2Hg | Alexandria | PBE | relaxed
data_BeTl2Hg
_symmetry_space_group_name_H-M 'I -4 2 d'
_symmetry_Int_Tables_number 122
_symmetry_space_group_name_Hall 'I -4 2bw'
_cell_length_a 6.357
_cell_length_b 6.357
_cell_length_c 13.125
_cell_angle_alpha 90.00
_cell_angle_beta 90.00
_cell_angle_gamma 90.00
loop_
_atom_site_label
_atom_site_type_symbol
_atom_site_fract_x
_atom_site_fract_y
_atom_site_fract_z
Be1 Be 0.000 0.000 0.000
Tl1 Tl 0.117 0.250 0.125
Hg1 Hg 0.000 0.000 0.500
# N(E_F): 0.54 states/eV/f.u.

---

Model x:
# BeTl2Hg | Alexandria | PBE | relaxed
data_BeTl2Hg
_symmetry_space_group_name_H-M 'F m -3 m'
_symmetry_Int_Tables_number 225
_symmetry_space_group_name_Hall '-F 4 2 3'
_cell_length_a 7.379
_cell_length_b 7.379
_cell_length_c 7.379
_cell_angle_alpha 90.00
_cell_angle_beta 90.00
_cell_angle_gamma 90.00
loop_
_atom_site_label
_atom_site_type_symbol
_atom_site_fract_x
_atom_site_fract_y
_atom_site_fract_z
Be1 Be 0.000 0.000 0.000
Tl1 Tl 0.250 0.250 0.250
Hg1 Hg 0.000 0.000 0.500
# N(E_F): 1.55 states/eV/f.u.

---

The data favor model w; the next most stable structure lies 34 meV per atom above it.

---

Model w:
# BeTlHg2 | Alexandria | PBE | relaxed
data_BeTlHg2
_symmetry_space_group_name_H-M 'C m m m'
_symmetry_Int_Tables_number 65
_symmetry_space_group_name_Hall '-C 2 2'
_cell_length_a 3.748
_cell_length_b 5.686
_cell_length_c 8.626
_cell_angle_alpha 90.00
_cell_angle_beta 90.00
_cell_angle_gamma 90.00
loop_
_atom_site_label
_atom_site_type_symbol
_atom_site_fract_x
_atom_site_fract_y
_atom_site_fract_z
Be1 Be 0.000 0.000 0.000
Tl1 Tl 0.000 0.000 0.500
Hg1 Hg 0.000 0.500 0.189
# N(E_F): 1.00 states/eV/f.u.

---

Model x:
# BeTlHg2 | Alexandria | PBE | relaxed
data_BeTlHg2
_symmetry_space_group_name_H-M 'F m -3 m'
_symmetry_Int_Tables_number 225
_symmetry_space_group_name_Hall '-F 4 2 3'
_cell_length_a 7.227
_cell_length_b 7.227
_cell_length_c 7.227
_cell_angle_alpha 90.00
_cell_angle_beta 90.00
_cell_angle_gamma 90.00
loop_
_atom_site_label
_atom_site_type_symbol
_atom_site_fract_x
_atom_site_fract_y
_atom_site_fract_z
Be1 Be 0.000 0.000 0.000
Tl1 Tl 0.000 0.000 0.500
Hg1 Hg 0.250 0.250 0.250
# N(E_F): 2.01 states/eV/f.u.

---

The data favor model w; the next most stable structure lies 205 meV per atom above it.

---

Model w:
# BeTlHg2 | Alexandria | PBE | relaxed
data_BeTlHg2
_symmetry_space_group_name_H-M 'I -4 m 2'
_symmetry_Int_Tables_number 119
_symmetry_space_group_name_Hall 'I -4 -2'
_cell_length_a 4.457
_cell_length_b 4.457
_cell_length_c 9.360
_cell_angle_alpha 90.00
_cell_angle_beta 90.00
_cell_angle_gamma 90.00
loop_
_atom_site_label
_atom_site_type_symbol
_atom_site_fract_x
_atom_site_fract_y
_atom_site_fract_z
Be1 Be 0.000 0.000 0.000
Tl1 Tl 0.000 0.500 0.250
Hg1 Hg 0.000 0.000 0.500
Hg2 Hg 0.000 0.500 0.750
# N(E_F): 1.57 states/eV/f.u.

---

Model x:
# BeTlHg2 | Alexandria | PBE | relaxed
data_BeTlHg2
_symmetry_space_group_name_H-M 'C 1 2/m 1'
_symmetry_Int_Tables_number 12
_symmetry_space_group_name_Hall '-C 2y'
_cell_length_a 5.815
_cell_length_b 11.125
_cell_length_c 3.602
_cell_angle_alpha 90.00
_cell_angle_beta 126.01
_cell_angle_gamma 90.00
loop_
_atom_site_label
_atom_site_type_symbol
_atom_site_fract_x
_atom_site_fract_y
_atom_site_fract_z
Be1 Be 0.000 0.000 0.000
Tl1 Tl 0.000 0.500 0.000
Hg1 Hg 0.250 0.250 0.000
# N(E_F): 1.51 states/eV/f.u.

---

Model y:
# BeTlHg2 | Alexandria | PBE | relaxed
data_BeTlHg2
_symmetry_space_group_name_H-M 'C m m m'
_symmetry_Int_Tables_number 65
_symmetry_space_group_name_Hall '-C 2 2'
_cell_length_a 5.563
_cell_length_b 9.861
_cell_length_c 3.352
_cell_angle_alpha 90.00
_cell_angle_beta 90.00
_cell_angle_gamma 90.00
loop_
_atom_site_label
_atom_site_type_symbol
_atom_site_fract_x
_atom_site_fract_y
_atom_site_fract_z
Be1 Be 0.000 0.000 0.000
Tl1 Tl 0.000 0.500 0.000
Hg1 Hg 0.000 0.187 0.500
# N(E_F): 1.12 states/eV/f.u.

---

The data favor model y; the next most stable structure lies 211 meV per atom above it.

---

Model w:
# BeTlHg2 | Alexandria | PBE | relaxed
data_BeTlHg2
_symmetry_space_group_name_H-M 'P m m m'
_symmetry_Int_Tables_number 47
_symmetry_space_group_name_Hall '-P 2 2'
_cell_length_a 4.015
_cell_length_b 4.822
_cell_length_c 4.832
_cell_angle_alpha 90.00
_cell_angle_beta 90.00
_cell_angle_gamma 90.00
loop_
_atom_site_label
_atom_site_type_symbol
_atom_site_fract_x
_atom_site_fract_y
_atom_site_fract_z
Be1 Be 0.000 0.000 0.000
Tl1 Tl 0.500 0.500 0.000
Hg1 Hg 0.000 0.500 0.500
Hg2 Hg 0.500 0.000 0.500
# N(E_F): 1.30 states/eV/f.u.

---

Model x:
# BeTlHg2 | Alexandria | PBE | relaxed
data_BeTlHg2
_symmetry_space_group_name_H-M 'P 1 2/m 1'
_symmetry_Int_Tables_number 10
_symmetry_space_group_name_Hall '-P 2y'
_cell_length_a 4.844
_cell_length_b 3.702
_cell_length_c 5.617
_cell_angle_alpha 90.00
_cell_angle_beta 111.97
_cell_angle_gamma 90.00
loop_
_atom_site_label
_atom_site_type_symbol
_atom_site_fract_x
_atom_site_fract_y
_atom_site_fract_z
Be1 Be 0.000 0.000 0.000
Tl1 Tl 0.000 0.500 0.500
Hg1 Hg 0.500 0.000 0.500
Hg2 Hg 0.500 0.500 0.000
# N(E_F): 1.15 states/eV/f.u.

---

Model y:
# BeTlHg2 | Alexandria | PBE | relaxed
data_BeTlHg2
_symmetry_space_group_name_H-M 'P 4 m m'
_symmetry_Int_Tables_number 99
_symmetry_space_group_name_Hall 'P 4 -2'
_cell_length_a 3.365
_cell_length_b 3.365
_cell_length_c 8.682
_cell_angle_alpha 90.00
_cell_angle_beta 90.00
_cell_angle_gamma 90.00
loop_
_atom_site_label
_atom_site_type_symbol
_atom_site_fract_x
_atom_site_fract_y
_atom_site_fract_z
Be1 Be 0.000 0.000 0.000
Tl1 Tl 0.500 0.500 0.564
Hg1 Hg 0.000 0.000 0.278
Hg2 Hg 0.500 0.500 0.925
# N(E_F): 1.62 states/eV/f.u.

---

The data favor model y; the next most stable structure lies 225 meV per atom above it.

---

Model w:
# BeTlHg2 | Alexandria | PBE | relaxed
data_BeTlHg2
_symmetry_space_group_name_H-M 'I m m 2'
_symmetry_Int_Tables_number 44
_symmetry_space_group_name_Hall 'I 2 -2'
_cell_length_a 3.042
_cell_length_b 4.170
_cell_length_c 14.483
_cell_angle_alpha 90.00
_cell_angle_beta 90.00
_cell_angle_gamma 90.00
loop_
_atom_site_label
_atom_site_type_symbol
_atom_site_fract_x
_atom_site_fract_y
_atom_site_fract_z
Be1 Be 0.000 0.000 0.000
Tl1 Tl 0.000 0.500 0.300
Hg1 Hg 0.000 0.000 0.481
Hg2 Hg 0.000 0.500 0.652
# N(E_F): 1.40 states/eV/f.u.

---

Model x:
# BeTlHg2 | Alexandria | PBE | relaxed
data_BeTlHg2
_symmetry_space_group_name_H-M 'A m m 2'
_symmetry_Int_Tables_number 38
_symmetry_space_group_name_Hall 'A 2 -2'
_cell_length_a 3.723
_cell_length_b 4.808
_cell_length_c 11.126
_cell_angle_alpha 90.00
_cell_angle_beta 90.00
_cell_angle_gamma 90.00
loop_
_atom_site_label
_atom_site_type_symbol
_atom_site_fract_x
_atom_site_fract_y
_atom_site_fract_z
Be1 Be 0.000 0.000 0.000
Tl1 Tl 0.500 0.000 0.818
Hg1 Hg 0.000 0.000 0.468
Hg2 Hg 0.500 0.000 0.143
# N(E_F): 1.10 states/eV/f.u.

---

Model y:
# BeTlHg2 | Alexandria | PBE | relaxed
data_BeTlHg2
_symmetry_space_group_name_H-M 'I 4/m m m'
_symmetry_Int_Tables_number 139
_symmetry_space_group_name_Hall '-I 4 2'
_cell_length_a 4.384
_cell_length_b 4.384
_cell_length_c 9.625
_cell_angle_alpha 90.00
_cell_angle_beta 90.00
_cell_angle_gamma 90.00
loop_
_atom_site_label
_atom_site_type_symbol
_atom_site_fract_x
_atom_site_fract_y
_atom_site_fract_z
Be1 Be 0.000 0.000 0.000
Tl1 Tl 0.000 0.000 0.500
Hg1 Hg 0.000 0.500 0.250
# N(E_F): 1.37 states/eV/f.u.

---

The data favor model w; the next most stable structure lies 14 meV per atom above it.

---

Model w:
# Be2TlHg | Alexandria | PBE | relaxed
data_Be2TlHg
_symmetry_space_group_name_H-M 'P 4 m m'
_symmetry_Int_Tables_number 99
_symmetry_space_group_name_Hall 'P 4 -2'
_cell_length_a 3.047
_cell_length_b 3.047
_cell_length_c 7.960
_cell_angle_alpha 90.00
_cell_angle_beta 90.00
_cell_angle_gamma 90.00
loop_
_atom_site_label
_atom_site_type_symbol
_atom_site_fract_x
_atom_site_fract_y
_atom_site_fract_z
Be1 Be 0.000 0.000 0.000
Be2 Be 0.500 0.500 0.073
Tl1 Tl 0.500 0.500 0.697
Hg1 Hg 0.000 0.000 0.332
# N(E_F): 1.69 states/eV/f.u.

---

Model x:
# Be2TlHg | Alexandria | PBE | relaxed
data_Be2TlHg
_symmetry_space_group_name_H-M 'P m m m'
_symmetry_Int_Tables_number 47
_symmetry_space_group_name_Hall '-P 2 2'
_cell_length_a 3.014
_cell_length_b 4.134
_cell_length_c 6.041
_cell_angle_alpha 90.00
_cell_angle_beta 90.00
_cell_angle_gamma 90.00
loop_
_atom_site_label
_atom_site_type_symbol
_atom_site_fract_x
_atom_site_fract_y
_atom_site_fract_z
Be1 Be 0.000 0.000 0.000
Be2 Be 0.500 0.000 0.500
Tl1 Tl 0.000 0.500 0.500
Hg1 Hg 0.500 0.500 0.000
# N(E_F): 1.58 states/eV/f.u.

---

The data favor model w; the next most stable structure lies 202 meV per atom above it.